Entry from Alexandria via LeMat-Bulk: Sm3SbP2Rh9 after structural relaxation (PBE).

Properties
Density of states at the Fermi level, states/eV per atom: 0.576
Uncorrected formation energy, eV per formula unit: -9.9
SG: P-3m1

abc: 6.096 6.096 9.192
angles: 90.00 90.00 120.00
Atoms (fractional coordinates):
1 Rh 0.848 0.152 0.726
2 Rh 0.848 0.697 0.726
3 Sb 0.000 0.000 0.500
4 Sm 0.333 0.667 0.710
5 P 0.667 0.333 0.841
6 Rh 0.697 0.848 0.274
7 Rh 0.303 0.152 0.726
8 Rh 0.500 0.500 0.000
9 Rh 0.500 0.000 0.000
10 Rh 0.152 0.848 0.274
11 Sm 0.667 0.333 0.290
12 Rh 0.000 0.500 0.000
13 Sm 0.000 0.000 0.000
14 Rh 0.152 0.303 0.274
15 P 0.333 0.667 0.159